[1]
A plane-wave DFT calculation with PBE-GGA was carried out for an optimized crystal structure of In2PdAu2.

Calculated values
As for the relative energy among the computed polymorphs: 0.000 eV per atom. As for the electronic total energy: -3.674 eV per atom. The crystal system is trigonal. Its space group is R-3m (166). The formation energy comes out at -0.229 eV per atom.

a b c (Å): 5.682 5.682 5.682
angles (deg): 48.69 48.69 48.69
Fractional positions:
In 0.105 0.105 0.105
In 0.895 0.895 0.895
Pd 0.500 0.500 0.500
Au 0.300 0.300 0.300
Au 0.700 0.700 0.700


[2]
A plane-wave DFT calculation with PBE-GGA was carried out for an optimized crystal structure of InPd4Au4.

Calculated values
As for the relative energy among the computed polymorphs: 0.000 eV per atom. As for the electronic total energy: -4.290 eV per atom. The crystal system is tetragonal. Its space group is I4/mmm (139). The formation energy comes out at -0.222 eV per atom.

a b c (Å): 6.497 6.497 6.497
angles (deg): 95.45 95.45 144.10
Fractional positions:
In 0.000 0.000 0.000
Pd 0.335 0.335 0.669
Pd 0.335 0.665 0.000
Pd 0.665 0.335 0.000
Pd 0.665 0.665 0.331
Au 0.000 0.331 0.331
Au 0.000 0.669 0.669
Au 0.331 0.000 0.331
Au 0.669 0.000 0.669


[3]
A plane-wave DFT calculation with PBE-GGA was carried out for an optimized crystal structure of In2Pd3Au.

Calculated values
As for the relative energy among the computed polymorphs: 0.123 eV per atom. As for the electronic total energy: -4.212 eV per atom. The crystal system is orthorhombic. Its space group is Immm (71). The formation energy comes out at -0.156 eV per atom.

a b c (Å): 8.306 8.306 8.306
angles (deg): 159.84 144.18 41.45
Fractional positions:
In 0.151 0.151 0.000
In 0.849 0.849 0.000
Pd 0.000 0.500 0.500
Pd 0.322 0.322 0.000
Pd 0.678 0.678 0.000
Au 0.500 0.500 0.000


[4]
A plane-wave DFT calculation with PBE-GGA was carried out for an optimized crystal structure of InPd2Au.

Calculated values
As for the electronic total energy: -4.418 eV per atom. The crystal system is cubic. Its space group is F-43m (216). The formation energy comes out at -0.318 eV per atom.

a b c (Å): 4.609 4.609 4.609
angles (deg): 60.00 60.00 60.00
Fractional positions:
In 0.000 0.000 0.000
Pd 0.250 0.250 0.250
Pd 0.500 0.500 0.500
Au 0.750 0.750 0.750


[5]
A plane-wave DFT calculation with PBE-GGA was carried out for an optimized crystal structure of InPd7Au12.

Calculated values
As for the electronic total energy: -3.984 eV per atom. The crystal system is trigonal. Its space group is R-3 (148). The formation energy comes out at -0.063 eV per atom.

a b c (Å): 7.535 7.535 7.535
angles (deg): 107.00 107.00 107.00
Fractional positions:
In 0.000 0.000 0.000
Pd 0.020 0.903 0.323
Pd 0.097 0.677 0.980
Pd 0.323 0.020 0.903
Pd 0.500 0.500 0.500
Pd 0.677 0.980 0.097
Pd 0.903 0.323 0.020
Pd 0.980 0.097 0.677
Au 0.035 0.303 0.412
Au 0.227 0.661 0.363
Au 0.303 0.412 0.035
Au 0.339 0.637 0.773
Au 0.363 0.227 0.661
Au 0.412 0.035 0.303
Au 0.588 0.965 0.697
Au 0.637 0.773 0.339
Au 0.661 0.363 0.227
Au 0.697 0.588 0.965
Au 0.773 0.339 0.637
Au 0.965 0.697 0.588


[6]
A plane-wave DFT calculation with PBE-GGA was carried out for an optimized crystal structure of In2PdAu.

Calculated values
As for the electronic total energy: -3.731 eV per atom. The crystal system is tetragonal. Its space group is P4/mmm (123). The formation energy comes out at -0.244 eV per atom.

a b c (Å): 5.040 5.040 3.083
angles (deg): 90.00 90.00 90.00
Fractional positions:
In 0.000 0.500 0.000
In 0.500 0.000 0.000
Pd 0.000 0.000 0.500
Au 0.500 0.500 0.500


[7]
A plane-wave DFT calculation with PBE-GGA was carried out for an optimized crystal structure of In5Pd6Au.

Calculated values
As for the electronic total energy: -4.481 eV per atom. The crystal system is orthorhombic. Its space group is Immm (71). The formation energy comes out at -0.470 eV per atom.

a b c (Å): 7.977 7.977 7.977
angles (deg): 146.96 129.18 61.97
Fractional positions:
In 0.000 0.000 0.000
In 0.170 0.670 0.500
In 0.345 0.345 0.000
In 0.655 0.655 0.000
In 0.830 0.330 0.500
Pd 0.069 0.828 0.241
Pd 0.232 0.500 0.732
Pd 0.413 0.172 0.241
Pd 0.587 0.828 0.759
Pd 0.768 0.500 0.268
Pd 0.931 0.172 0.759
Au 0.500 0.000 0.500


[8]
A plane-wave DFT calculation with PBE-GGA was carried out for an optimized crystal structure of InPd5Au2.

Calculated values
As for the relative energy among the computed polymorphs: 0.000 eV per atom. As for the electronic total energy: -4.672 eV per atom. The crystal system is tetragonal. Its space group is I4/mmm (139). The formation energy comes out at -0.265 eV per atom.

a b c (Å): 8.404 8.404 8.404
angles (deg): 151.80 151.80 40.31
Fractional positions:
In 0.000 0.000 0.000
Pd 0.123 0.623 0.500
Pd 0.377 0.877 0.500
Pd 0.500 0.500 0.000
Pd 0.623 0.123 0.500
Pd 0.877 0.377 0.500
Au 0.250 0.250 0.000
Au 0.750 0.750 0.000


[9]
A plane-wave DFT calculation with PBE-GGA was carried out for an optimized crystal structure of In4Pd15Au.

Calculated values
As for the electronic total energy: -4.959 eV per atom. The crystal system is tetragonal. Its space group is P4/mmm (123). The formation energy comes out at -0.353 eV per atom.

a b c (Å): 4.040 4.040 20.055
angles (deg): 90.00 90.00 90.00
Fractional positions:
In 0.000 0.000 0.100
In 0.000 0.000 0.301
In 0.000 0.000 0.699
In 0.000 0.000 0.900
Pd 0.000 0.500 0.000
Pd 0.000 0.500 0.201
Pd 0.000 0.500 0.401
Pd 0.000 0.500 0.599
Pd 0.000 0.500 0.799
Pd 0.500 0.000 0.000
Pd 0.500 0.000 0.201
Pd 0.500 0.000 0.401
Pd 0.500 0.000 0.599
Pd 0.500 0.000 0.799
Pd 0.500 0.500 0.101
Pd 0.500 0.500 0.302
Pd 0.500 0.500 0.500
Pd 0.500 0.500 0.698
Pd 0.500 0.500 0.899
Au 0.000 0.000 0.500


[10]
A plane-wave DFT calculation with PBE-GGA was carried out for an optimized crystal structure of In4Pd5Au2.

Calculated values
As for the electronic total energy: -4.011 eV per atom. The crystal system is orthorhombic. Its space group is Immm (71). The formation energy comes out at -0.059 eV per atom.

a b c (Å): 12.218 12.218 12.218
angles (deg): 165.90 145.11 37.80
Fractional positions:
In 0.193 0.193 0.000
In 0.195 0.500 0.695
In 0.805 0.500 0.305
In 0.807 0.807 0.000
Pd 0.110 0.300 0.810
Pd 0.489 0.300 0.190
Pd 0.500 0.000 0.500
Pd 0.511 0.700 0.810
Pd 0.890 0.700 0.190
Au 0.400 0.400 0.000
Au 0.600 0.600 0.000


[11]
A plane-wave DFT calculation with PBE-GGA was carried out for an optimized crystal structure of In6PdAu8.

Calculated values
As for the electronic total energy: -3.338 eV per atom. The crystal system is trigonal. Its space group is R-3 (148). The formation energy comes out at -0.148 eV per atom.

a b c (Å): 8.223 8.223 8.223
angles (deg): 52.97 52.97 52.97
Fractional positions:
In 0.161 0.320 0.716
In 0.284 0.839 0.680
In 0.320 0.716 0.161
In 0.680 0.284 0.839
In 0.716 0.161 0.320
In 0.839 0.680 0.284
Pd 0.000 0.000 0.000
Au 0.053 0.769 0.583
Au 0.231 0.417 0.947
Au 0.310 0.310 0.310
Au 0.417 0.947 0.231
Au 0.583 0.053 0.769
Au 0.690 0.690 0.690
Au 0.769 0.583 0.053
Au 0.947 0.231 0.417


[12]
A plane-wave DFT calculation with PBE-GGA was carried out for an optimized crystal structure of In2Pd5Au3.

Calculated values
As for the electronic total energy: -4.166 eV per atom. The crystal system is orthorhombic. Its space group is Ibam (72). The formation energy comes out at -0.039 eV per atom.

a b c (Å): 9.020 9.020 9.020
angles (deg): 104.85 85.70 144.95
Fractional positions:
In 0.155 0.136 0.291
In 0.345 0.636 0.981
In 0.655 0.364 0.019
In 0.845 0.864 0.709
Pd 0.152 0.639 0.791
Pd 0.250 0.001 0.751
Pd 0.250 0.499 0.249
Pd 0.250 0.750 0.500
Pd 0.348 0.139 0.487
Pd 0.652 0.861 0.513
Pd 0.750 0.250 0.500
Pd 0.750 0.501 0.751
Pd 0.750 0.999 0.249
Pd 0.848 0.361 0.209
Au 0.178 0.390 0.568
Au 0.250 0.250 0.000
Au 0.322 0.890 0.213
Au 0.678 0.110 0.787
Au 0.750 0.750 0.000
Au 0.822 0.610 0.432


[13]
A plane-wave DFT calculation with PBE-GGA was carried out for an optimized crystal structure of In4Pd9Au2.

Calculated values
As for the electronic total energy: -4.639 eV per atom. The crystal system is trigonal. Its space group is P-3m1 (164). The formation energy comes out at -0.356 eV per atom.

a b c (Å): 4.536 4.536 14.496
angles (deg): 90.00 90.00 120.00
Fractional positions:
In 0.333 0.667 0.151
In 0.333 0.667 0.379
In 0.667 0.333 0.621
In 0.667 0.333 0.849
Pd 0.000 0.000 0.100
Pd 0.000 0.000 0.307
Pd 0.000 0.000 0.500
Pd 0.000 0.000 0.693
Pd 0.000 0.000 0.900
Pd 0.333 0.667 0.571
Pd 0.333 0.667 0.966
Pd 0.667 0.333 0.034
Pd 0.667 0.333 0.429
Au 0.333 0.667 0.769
Au 0.667 0.333 0.231


[14]
A plane-wave DFT calculation with PBE-GGA was carried out for an optimized crystal structure of InPd2Au8.

Calculated values
As for the relative energy among the computed polymorphs: 0.060 eV per atom. As for the electronic total energy: -3.609 eV per atom. The crystal system is orthorhombic. Its space group is Cmmm (65). The formation energy comes out at -0.033 eV per atom.

a b c (Å): 6.998 6.998 4.384
angles (deg): 90.00 90.00 106.16
Fractional positions:
In 0.000 0.000 0.000
Pd 0.381 0.619 0.500
Pd 0.619 0.381 0.500
Au 0.036 0.306 0.500
Au 0.246 0.754 0.000
Au 0.306 0.036 0.500
Au 0.333 0.333 0.000
Au 0.667 0.667 0.000
Au 0.694 0.964 0.500
Au 0.754 0.246 0.000
Au 0.964 0.694 0.500


[15]
A plane-wave DFT calculation with PBE-GGA was carried out for an optimized crystal structure of InPd7Au3.

Calculated values
As for the relative energy among the computed polymorphs: 0.253 eV per atom. As for the electronic total energy: -4.403 eV per atom. The crystal system is monoclinic. Its space group is C2/m (12). The formation energy comes out at 0.045 eV per atom.

a b c (Å): 6.593 6.593 5.120
angles (deg): 107.39 107.39 91.20
Fractional positions:
In 0.000 0.000 0.000
Pd 0.000 0.000 0.500
Pd 0.085 0.574 0.830
Pd 0.287 0.287 0.447
Pd 0.426 0.915 0.170
Pd 0.574 0.085 0.830
Pd 0.713 0.713 0.553
Pd 0.915 0.426 0.170
Au 0.285 0.715 0.500
Au 0.500 0.500 0.000
Au 0.715 0.285 0.500


[16]
A plane-wave DFT calculation with PBE-GGA was carried out for an optimized crystal structure of InPdAu4.

Calculated values
As for the relative energy among the computed polymorphs: 0.058 eV per atom. As for the electronic total energy: -3.607 eV per atom. The crystal system is orthorhombic. Its space group is Imm2 (44). The formation energy comes out at -0.100 eV per atom.

a b c (Å): 5.591 5.591 5.591
angles (deg): 131.07 119.56 81.35
Fractional positions:
In 0.000 0.000 0.000
Pd 0.501 0.001 0.500
Au 0.089 0.338 0.751
Au 0.178 0.678 0.500
Au 0.587 0.338 0.249
Au 0.672 0.672 0.000


[17]
A plane-wave DFT calculation with PBE-GGA was carried out for an optimized crystal structure of In6Pd5Au.

Calculated values
As for the relative energy among the computed polymorphs: 0.000 eV per atom. As for the electronic total energy: -4.229 eV per atom. The crystal system is monoclinic. Its space group is P2/m (10). The formation energy comes out at -0.423 eV per atom.

a b c (Å): 4.713 6.573 7.483
angles (deg): 90.00 107.35 90.00
Fractional positions:
In 0.000 0.248 0.000
In 0.000 0.752 0.000
In 0.327 0.245 0.659
In 0.327 0.755 0.659
In 0.673 0.245 0.341
In 0.673 0.755 0.341
Pd 0.163 0.000 0.321
Pd 0.173 0.500 0.338
Pd 0.500 0.000 0.000
Pd 0.827 0.500 0.662
Pd 0.837 0.000 0.679
Au 0.500 0.500 0.000


[18]
A plane-wave DFT calculation with PBE-GGA was carried out for an optimized crystal structure of Pr2InPd5Au2.

Calculated values
As for the electronic total energy: -5.111 eV per atom. The crystal system is tetragonal. Its space group is P4/mbm (127). The formation energy comes out at -0.630 eV per atom.

a b c (Å): 9.975 9.975 4.072
angles (deg): 90.00 90.00 90.00
Fractional positions:
Pr 0.172 0.328 0.000
Pr 0.328 0.828 0.000
Pr 0.672 0.172 0.000
Pr 0.828 0.672 0.000
In 0.000 0.000 0.000
In 0.500 0.500 0.000
Pd 0.000 0.500 0.500
Pd 0.057 0.801 0.500
Pd 0.199 0.057 0.500
Pd 0.301 0.557 0.500
Pd 0.443 0.301 0.500
Pd 0.500 0.000 0.500
Pd 0.557 0.699 0.500
Pd 0.699 0.443 0.500
Pd 0.801 0.943 0.500
Pd 0.943 0.199 0.500
Au 0.126 0.626 0.000
Au 0.374 0.126 0.000
Au 0.626 0.874 0.000
Au 0.874 0.374 0.000


[19]
A plane-wave DFT calculation with PBE-GGA was carried out for an optimized crystal structure of PrInPdAu.

Calculated values
As for the electronic total energy: -4.662 eV per atom. The crystal system is cubic. Its space group is F-43m (216). The formation energy comes out at -0.665 eV per atom.

a b c (Å): 5.008 5.008 5.008
angles (deg): 60.00 60.00 60.00
Fractional positions:
Pr 0.000 0.000 0.000
In 0.500 0.500 0.500
Pd 0.750 0.750 0.750
Au 0.250 0.250 0.250


[20]
A plane-wave DFT calculation with PBE-GGA was carried out for an optimized crystal structure of PuInPdAu.

Calculated values
As for the electronic total energy: -6.797 eV per atom. The crystal system is cubic. Its space group is F-43m (216). The formation energy comes out at -0.412 eV per atom.

a b c (Å): 4.940 4.940 4.940
angles (deg): 60.00 60.00 60.00
Fractional positions:
Pu 0.000 0.000 0.000
In 0.500 0.500 0.500
Pd 0.750 0.750 0.750
Au 0.250 0.250 0.250